[1]
14
Lattice="2.737 0.000 0.000 -1.369 2.370 0.000 0.000 0.000 16.646" Properties=species:S:1:pos:R:3 comment="LiB3C3, relaxed, DFT PBE" dos_at_fermi_per_ev_atom=0.31 de_polymorph_ev_per_fu=0.81 e_tot_ev_per_atom=-6.9234 total_magnetization_mub_per_fu=0.00 delta_e_f_kcal_per_mol_atoms=3.802 pbc="T T T"
Li 0.000 0.000 0.000
Li 0.000 0.000 8.323
B 0.000 1.580 1.772
B 0.000 1.580 6.551
B 0.000 1.580 12.485
B 1.369 0.790 4.162
B 1.369 0.790 10.095
B 1.369 0.790 14.874
C 0.000 1.580 4.162
C 0.000 1.580 10.020
C 0.000 1.580 14.949
C 1.369 0.790 1.697
C 1.369 0.790 6.626
C 1.369 0.790 12.485

[2]
32
Lattice="4.488 -4.629 0.000 4.488 4.629 0.000 -3.827 0.000 7.244" Properties=species:S:1:pos:R:3 comment="LiB12C3, relaxed, DFT PBE" dos_at_fermi_per_ev_atom=0.03 e_tot_ev_per_atom=-6.3839 total_magnetization_mub_per_fu=0.00 delta_e_f_kcal_per_mol_atoms=10.914 pbc="T T T"
Li 2.575 2.562 3.622
Li 4.488 -2.562 0.000
B -1.404 1.995 6.815
B 1.359 4.076 6.698
B 4.072 2.893 0.320
B 0.517 0.691 3.171
B 1.895 0.603 0.542
B 1.874 0.631 2.247
B -0.019 -0.603 4.163
B -1.397 -0.691 6.793
B 4.467 2.044 1.776
B -0.039 -0.631 5.869
B 4.555 1.044 0.376
B 0.509 -1.995 3.193
B 3.475 0.172 2.838
B 1.561 -0.172 6.460
B 2.641 -1.044 3.998
B 5.128 0.881 3.496
B 5.863 0.024 0.890
B 3.949 -0.024 4.512
B 2.159 -2.893 3.941
B 2.553 -2.044 5.398
B 3.215 -0.881 7.118
B 7.546 0.300 1.381
B 5.632 -0.300 5.003
B 3.272 -4.076 3.076
C -0.587 0.656 6.878
C 1.327 -0.656 3.256
C 4.718 0.363 1.916
C 2.805 -0.363 5.538
C 6.550 0.124 3.922
C 8.464 -0.124 0.300

[3]
14
Lattice="4.668 0.000 0.000 -2.334 4.043 0.000 0.000 0.000 7.325" Properties=species:S:1:pos:R:3 comment="LiB3C3, relaxed, DFT PBE" dos_at_fermi_per_ev_atom=0.32 de_polymorph_ev_per_fu=0.62 e_tot_ev_per_atom=-6.9504 total_magnetization_mub_per_fu=0.00 delta_e_f_kcal_per_mol_atoms=3.180 pbc="T T T"
Li 0.000 0.000 0.000
Li 0.000 0.000 3.662
B -0.786 1.362 1.831
B -1.548 2.681 5.494
B 1.573 0.000 1.831
B 0.786 1.362 5.494
B 3.095 0.000 5.494
B 1.548 2.681 1.831
C -0.771 1.336 5.494
C -1.563 2.707 1.831
C 1.543 0.000 5.494
C 0.771 1.336 1.831
C 3.126 0.000 1.831
C 1.563 2.707 5.494

[4]
14
Lattice="4.711 0.000 0.000 -2.356 4.080 0.000 0.000 0.000 6.120" Properties=species:S:1:pos:R:3 comment="LiB3C3, relaxed, DFT PBE" dos_at_fermi_per_ev_atom=0.20 de_polymorph_ev_per_fu=0.75 e_tot_ev_per_atom=-6.9314 total_magnetization_mub_per_fu=0.00 delta_e_f_kcal_per_mol_atoms=3.618 pbc="T T T"
Li 0.000 2.720 0.000
Li 2.356 1.360 0.000
B -0.781 1.353 4.301
B -1.575 2.727 1.819
B 1.562 0.000 4.301
B 0.781 1.353 1.819
B 3.149 0.000 1.819
B 1.575 2.727 4.301
C -0.788 1.364 1.769
C -1.568 2.716 4.351
C 1.575 0.000 1.769
C 0.788 1.364 4.351
C 3.136 0.000 4.351
C 1.568 2.716 1.769

[5]
17
Lattice="6.645 -2.671 0.000 6.645 2.671 0.000 -0.882 0.000 4.464" Properties=species:S:1:pos:R:3 comment="LiB8C8, relaxed, DFT PBE" dos_at_fermi_per_ev_atom=0.11 de_polymorph_ev_per_fu=1.38 e_tot_ev_per_atom=-7.3341 total_magnetization_mub_per_fu=0.00 delta_e_f_kcal_per_mol_atoms=6.029 pbc="T T T"
Li 0.000 0.000 0.000
B 3.799 1.327 3.408
B 1.258 0.000 3.298
B 4.538 0.000 1.166
B 8.609 1.327 1.056
B 3.799 -1.327 3.408
B 7.870 0.000 3.298
B 11.150 0.000 1.166
B 8.609 -1.327 1.056
C 4.801 1.339 0.456
C 2.139 0.000 1.955
C 3.621 0.000 2.497
C 7.607 1.339 4.008
C 4.801 -1.339 0.456
C 8.786 0.000 1.967
C 10.269 0.000 2.509
C 7.607 -1.339 4.008

[6]
14
Lattice="2.332 1.346 7.554 -2.332 1.346 7.554 0.000 -2.693 7.554" Properties=species:S:1:pos:R:3 comment="LiB3C3, relaxed, DFT PBE" dos_at_fermi_per_ev_atom=0.56 de_polymorph_ev_per_fu=0.67 e_tot_ev_per_atom=-6.9432 total_magnetization_mub_per_fu=0.00 delta_e_f_kcal_per_mol_atoms=3.344 pbc="T T T"
Li 0.000 0.000 1.891
Li 0.000 0.000 20.769
B -1.547 -0.014 7.554
B -0.773 -1.338 11.330
B 0.785 -1.332 7.554
B -0.773 1.338 11.330
B 0.761 1.346 7.554
B 1.546 0.000 11.330
C -0.771 -1.357 7.554
C -1.562 0.000 11.330
C -0.789 1.346 7.554
C 0.781 -1.352 11.330
C 1.561 0.010 7.554
C 0.781 1.352 11.330

[7]
17
Lattice="5.485 0.000 0.000 -2.743 4.750 0.000 0.000 0.000 5.377" Properties=species:S:1:pos:R:3 comment="LiB8C8, relaxed, DFT PBE" dos_at_fermi_per_ev_atom=0.24 de_polymorph_ev_per_fu=2.57 e_tot_ev_per_atom=-7.2640 total_magnetization_mub_per_fu=0.00 delta_e_f_kcal_per_mol_atoms=7.646 pbc="T T T"
Li 0.000 0.000 0.000
B 0.000 1.597 3.653
B -1.360 3.952 3.653
B 0.000 3.167 1.644
B 1.383 0.798 1.725
B 1.360 3.952 3.653
B 2.743 1.583 3.733
B 4.102 0.798 1.725
B 2.743 3.153 1.725
C 0.000 1.590 1.641
C -1.366 3.956 1.641
C 0.000 3.167 3.722
C 1.377 0.795 3.736
C 1.366 3.956 1.641
C 2.743 1.583 1.656
C 4.109 0.795 3.736
C 2.743 3.161 3.736

[8]
14
Lattice="1.368 -6.756 0.000 1.368 6.756 0.000 0.000 0.000 7.679" Properties=species:S:1:pos:R:3 comment="LiB3C3, relaxed, DFT PBE" dos_at_fermi_per_ev_atom=0.24 de_polymorph_ev_per_fu=0.66 e_tot_ev_per_atom=-6.9444 total_magnetization_mub_per_fu=0.00 delta_e_f_kcal_per_mol_atoms=3.318 pbc="T T T"
Li 1.368 4.337 3.840
Li 1.368 -4.337 0.000
B 1.368 6.173 2.287
B 1.368 2.773 5.632
B 1.368 1.673 1.844
B 1.368 -1.673 5.684
B 1.368 -2.773 1.792
B 1.368 -6.173 6.126
C 1.368 5.780 5.759
C 1.368 3.255 1.711
C 1.368 1.259 6.129
C 1.368 -1.259 2.290
C 1.368 -3.255 5.551
C 1.368 -5.780 1.919

[9]
14
Lattice="6.970 -1.349 0.000 6.970 1.349 0.000 -4.499 0.000 6.997" Properties=species:S:1:pos:R:3 comment="LiB3C3, relaxed, DFT PBE" dos_at_fermi_per_ev_atom=0.26 de_polymorph_ev_per_fu=0.69 e_tot_ev_per_atom=-6.9411 total_magnetization_mub_per_fu=0.00 delta_e_f_kcal_per_mol_atoms=3.394 pbc="T T T"
Li 0.000 0.000 0.000
Li 0.054 0.000 3.556
B -1.644 0.000 5.141
B 1.595 0.000 1.846
B 2.998 0.000 4.972
B 6.180 0.000 1.795
B 7.669 0.000 5.400
B 10.865 0.000 2.170
C 10.755 0.000 4.950
C 3.117 0.000 2.144
C 1.486 0.000 5.355
C 7.754 0.000 1.779
C 6.118 0.000 5.209
C 12.385 0.000 1.870